The following is a DFT calculation (PBE) of SmHoCd17 after structural relaxation.

Lattice parameters (Å, degrees): 7.6638 7.6638 7.6638 81.96 81.96 81.96
Last column: nearest neighbours and their distance in Å.
Element x y z (fractional)
Cd: 0.0020 0.3024 0.6941  8 Cd 2.91-3.23
Cd: 0.9083 0.9083 0.9083  4 Cd 2.89-2.92
Sm: 0.6691 0.6691 0.6691  16 Cd 3.52-3.81
Cd: 0.3024 0.6941 0.0020  8 Cd 2.91-3.23
Cd: 0.6206 0.2137 0.6206  6 Cd 2.86-3.11
Cd: 0.6941 0.0020 0.3024  8 Cd 2.91-3.23
Cd: 0.3024 0.0020 0.6941  8 Cd 2.91-3.23
Cd: 0.1030 0.1030 0.1030  4 Cd 2.92-2.99
Cd: 0.0020 0.6941 0.3024  8 Cd 2.91-3.23
Cd: 0.2137 0.6206 0.6206  6 Cd 2.86-3.11
Cd: 0.6941 0.3024 0.0020  8 Cd 2.91-3.23
Cd: 0.5265 0.9761 0.9761  9 Cd 2.89-3.11
Cd: 0.3439 0.8777 0.3439  7 Cd 2.86-3.01
Cd: 0.9761 0.5265 0.9761  9 Cd 2.89-3.11
Cd: 0.6206 0.6206 0.2137  6 Cd 2.86-3.11
Cd: 0.3439 0.3439 0.8777  7 Cd 2.86-3.01
Cd: 0.9761 0.9761 0.5265  9 Cd 2.89-3.11
Cd: 0.8777 0.3439 0.3439  7 Cd 2.86-3.01
Ho: 0.3236 0.3236 0.3236  13 Cd 3.31-3.49

Output
- Calculated density: 8.44 g/cm³
- Energy relative to the elements: -0.116 eV per atom

---

The following is a DFT calculation (PBE) of SmHoCd2 after structural relaxation.

Lattice parameters (Å, degrees): 3.7427 3.7427 7.6616 90.00 90.00 90.00
Last column: nearest neighbours and their distance in Å.
Element x y z (fractional)
Ho: 0.5000 0.5000 0.0000  8 Cd 3.21
Cd: 0.0000 0.0000 0.2378  4 Ho 3.21, 4 Sm 3.32
Cd: 0.0000 0.0000 0.7622  4 Ho 3.21, 4 Sm 3.32
Sm: 0.5000 0.5000 0.5000  8 Cd 3.32

Output
- Calculated density: 8.36 g/cm³
- Energy relative to the elements: -0.315 eV per atom

---

The following is a DFT calculation (PBE) of Sm5Ho4Cd after structural relaxation.

Lattice parameters (Å, degrees): 3.5989 3.5989 24.3013 90.00 90.00 90.00
Last column: nearest neighbours and their distance in Å.
Element x y z (fractional)
Ho: 0.0000 0.0000 0.3970  8 Sm 3.57, 4 Ho 3.60
Ho: 0.0000 0.0000 0.6030  8 Sm 3.57, 4 Ho 3.60
Ho: 0.0000 0.0000 0.1907  8 Sm 3.57, 4 Ho 3.60
Sm: 0.5000 0.5000 0.0875  4 Cd 3.32, 4 Ho 3.57, 4 Sm 3.60
Cd: 0.0000 0.0000 0.0000  8 Sm 3.32, 4 Cd 3.60
Sm: 0.5000 0.5000 0.9125  4 Cd 3.32, 4 Ho 3.57, 4 Sm 3.60
Sm: 0.5000 0.5000 0.7061  8 Ho 3.57, 4 Sm 3.60
Ho: 0.0000 0.0000 0.8093  8 Sm 3.57, 4 Ho 3.60
Sm: 0.5000 0.5000 0.5000  8 Ho 3.57, 4 Sm 3.60
Sm: 0.5000 0.5000 0.2939  8 Ho 3.57, 4 Sm 3.60

Output
- Calculated density: 8.04 g/cm³
- Energy relative to the elements: -0.045 eV per atom

---

The following is a DFT calculation (PBE) of Sm3Ho2Cd after structural relaxation.

Lattice parameters (Å, degrees): 3.6095 3.6095 14.2285 90.00 90.00 90.00
Last column: nearest neighbours and their distance in Å.
Element x y z (fractional)
Sm: 0.0000 0.0000 0.6489  4 Cd 3.32, 4 Ho 3.57, 4 Sm 3.61
Sm: 0.0000 0.0000 0.0000  8 Ho 3.57, 4 Sm 3.61
Ho: 0.5000 0.5000 0.8246  8 Sm 3.57, 4 Ho 3.61
Cd: 0.5000 0.5000 0.5000  8 Sm 3.32, 4 Cd 3.61
Ho: 0.5000 0.5000 0.1754  8 Sm 3.57, 4 Ho 3.61
Sm: 0.0000 0.0000 0.3511  4 Cd 3.32, 4 Ho 3.57, 4 Sm 3.61

Output
- Calculated density: 8.00 g/cm³
- Energy relative to the elements: -0.087 eV per atom
- Energy above the most stable polymorph in this dataset: 0 meV/atom

---

The following is a DFT calculation (PBE) of Sm8Ho5Cd after structural relaxation.

Lattice parameters (Å, degrees): 8.5655 8.5654 8.5655 103.84 121.45 103.83
Last column: nearest neighbours and their distance in Å.
Element x y z (fractional)
Sm: 0.7646 0.3417 0.4263  1 Ho 3.19, 1 Cd 3.21, 2 Sm 3.38-3.48
Sm: 0.5771 0.6617 0.2354  1 Ho 3.19, 1 Cd 3.21, 2 Sm 3.38-3.48
Sm: 0.0846 0.6583 0.4229  1 Ho 3.19, 1 Cd 3.21, 2 Sm 3.38-3.48
Ho: 0.9070 0.8157 0.0999  3 Sm 3.19-3.39, 2 Ho 3.24
Sm: 0.0326 0.0863 0.5482  1 Cd 3.09, 2 Ho 3.33-3.39
Sm: 0.0537 0.5156 0.9674  1 Cd 3.09, 2 Ho 3.33-3.39
Ho: 0.9086 0.1929 0.0930  3 Sm 3.19-3.39, 2 Ho 3.24
Ho: 0.9001 0.8071 0.7158  3 Sm 3.19-3.39, 2 Ho 3.24
Sm: 0.5737 0.3383 0.9154  1 Ho 3.19, 1 Cd 3.21, 2 Sm 3.38-3.48
Ho: 0.2842 0.1843 0.0914  3 Sm 3.19-3.39, 2 Ho 3.24
Sm: 0.4619 0.9137 0.9463  1 Cd 3.09, 2 Ho 3.33-3.39
Cd: 0.2500 0.5000 0.7500  8 Sm 3.09-3.21
Ho: 0.5000 0.0000 0.5000  4 Sm 3.65, 4 Ho 3.93
Sm: 0.4518 0.4844 0.5381  1 Cd 3.09, 2 Ho 3.33-3.39

Output
- Calculated density: 7.60 g/cm³
- Energy relative to the elements: 0.165 eV per atom

---

The following is a DFT calculation (PBE) of Sm5HoCd6 after structural relaxation.

Lattice parameters (Å, degrees): 5.3534 7.6553 8.4715 90.00 71.58 90.00
Last column: nearest neighbours and their distance in Å.
Element x y z (fractional)
Cd: 0.8356 0.7534 0.3287  1 Ho 3.25, 7 Sm 3.28-3.32
Sm: 0.3318 0.5000 0.3365  8 Cd 3.31-3.33
Cd: 0.8356 0.2466 0.3287  1 Ho 3.25, 7 Sm 3.28-3.32
Cd: 0.5000 0.2461 0.0000  6 Sm 3.27-3.33, 2 Ho 3.27
Sm: 0.0000 0.5000 0.0000  8 Cd 3.28-3.31
Ho: 0.0000 0.0000 0.0000  8 Cd 3.25-3.27
Sm: 0.3340 0.0000 0.3321  8 Cd 3.27-3.32
Sm: 0.6660 0.0000 0.6679  8 Cd 3.27-3.32
Sm: 0.6682 0.5000 0.6635  8 Cd 3.31-3.33
Cd: 0.5000 0.7539 0.0000  6 Sm 3.27-3.33, 2 Ho 3.27
Cd: 0.1644 0.2466 0.6713  1 Ho 3.25, 7 Sm 3.28-3.32
Cd: 0.1644 0.7534 0.6713  1 Ho 3.25, 7 Sm 3.28-3.32

Output
- Calculated density: 8.02 g/cm³
- Energy relative to the elements: -0.315 eV per atom